(1)
A relaxed structure of DyErCS, computed with PBE.

## Properties
Electronic total energy (eV/atom): -6.902
Calculated volume (Å³ per cell): 150.96
Space-group type: No. 187
Total moment (μB per formula unit): 0.0

Lattice parameters (Å, degrees): 3.685 3.685 12.834 90.00 90.00 120.00
Positions (direct):
Dy  0.000  0.000  0.147
Dy  0.000  0.000  0.853
Er  0.333  0.667  0.354
Er  0.333  0.667  0.646
C  0.667  0.333  0.251
C  0.667  0.333  0.749
S  0.000  0.000  0.500
S  0.333  0.667  0.000

=====

(2)
A relaxed structure of KScHgO3, computed with PBE.

## Properties
Electronic total energy (eV/atom): -5.580
Calculated volume (Å³ per cell): 197.45
Space-group type: No. 63
Total moment (μB per formula unit): 0.0

Lattice parameters (Å, degrees): 7.064 7.064 8.594 90.00 90.00 152.58
Positions (direct):
K  0.176  0.824  0.750
K  0.824  0.176  0.250
Sc  0.500  0.500  0.000
Sc  0.500  0.500  0.500
Hg  0.115  0.885  0.250
Hg  0.885  0.115  0.750
O  0.102  0.898  0.014
O  0.102  0.898  0.486
O  0.477  0.523  0.250
O  0.523  0.477  0.750
O  0.898  0.102  0.514
O  0.898  0.102  0.986

=====

(3)
A relaxed structure of Y4CoPN2, computed with PBE.

## Properties
Electronic total energy (eV/atom): -7.887
Calculated volume (Å³ per cell): 146.19
Space-group type: No. 187
Total moment (μB per formula unit): 0.4

Lattice parameters (Å, degrees): 3.609 3.609 12.962 90.00 90.00 120.00
Positions (direct):
Y  0.000  0.000  0.143
Y  0.000  0.000  0.857
Y  0.333  0.667  0.355
Y  0.333  0.667  0.645
Co  0.000  0.000  0.500
P  0.333  0.667  0.000
N  0.667  0.333  0.248
N  0.667  0.333  0.752

=====

Question: Which of these has the lowest calculated volume?
Answer: Y4CoPN2